No. 1
First-principles (PBE) data for a relaxed structure of RbGdTeO, as listed in OQMD via LeMat-Bulk.

The structure in CIF format:
```
data_RbGdTeO
_space_group_name_H-M_alt 'P 4/n m m'
_space_group_IT_number 129
_cell_length_a 4.3401
_cell_length_b 4.3401
_cell_length_c 10.8619
_cell_angle_alpha 90.00
_cell_angle_beta 90.00
_cell_angle_gamma 90.00
loop_
_space_group_symop_operation_xyz
'x,y,z'
'-x,-y,-z'
'-y+1/2,x,z'
'y+1/2,-x,-z'
'-x+1/2,-y+1/2,z'
'x+1/2,y+1/2,-z'
'y,-x+1/2,z'
'-y,x+1/2,-z'
'x+1/2,-y,-z'
'-x+1/2,y,z'
'-y,-x,-z'
'y,x,z'
'-x,y+1/2,-z'
'x,-y+1/2,z'
'y+1/2,x+1/2,-z'
'-y+1/2,-x+1/2,z'
loop_
_atom_site_label
_atom_site_fract_x
_atom_site_fract_y
_atom_site_fract_z
Rb1 0.2500 0.7500 0.0000
Gd1 0.2500 0.2500 0.4165
Te1 0.2500 0.2500 0.7563
O1 0.2500 0.7500 0.5000
```

E_tot ... -5.25 eV/atom


No. 2
First-principles (PBE) data for a relaxed structure of LuPtAu, as listed in OQMD via LeMat-Bulk.

The structure in CIF format:
```
data_LuPtAu
_space_group_name_H-M_alt 'F -4 3 m'
_space_group_IT_number 216
_space_group_name_Hall 'F -4 2 3'
_cell_length_a 6.4486
_cell_length_b 6.4486
_cell_length_c 6.4486
_cell_angle_alpha 90.00
_cell_angle_beta 90.00
_cell_angle_gamma 90.00
loop_
_atom_site_label
_atom_site_fract_x
_atom_site_fract_y
_atom_site_fract_z
Lu1 0.0000 0.0000 0.0000
Pt1 0.2500 0.2500 0.7500
Au1 0.0000 0.0000 0.5000
```

E_tot ... -5.46 eV/atom
ΔE_f ... -0.85 eV per atom


The lowest E_tot belongs to which entry?
LuPtAu


Among the records above, which one has the lowest E_tot?
LuPtAu


Among the records above, which one has the lowest E_tot?
LuPtAu


Repeat the first record exactly.
First-principles (PBE) data for a relaxed structure of RbGdTeO, as listed in OQMD via LeMat-Bulk.

The structure in CIF format:
```
data_RbGdTeO
_space_group_name_H-M_alt 'P 4/n m m'
_space_group_IT_number 129
_cell_length_a 4.3401
_cell_length_b 4.3401
_cell_length_c 10.8619
_cell_angle_alpha 90.00
_cell_angle_beta 90.00
_cell_angle_gamma 90.00
loop_
_space_group_symop_operation_xyz
'x,y,z'
'-x,-y,-z'
'-y+1/2,x,z'
'y+1/2,-x,-z'
'-x+1/2,-y+1/2,z'
'x+1/2,y+1/2,-z'
'y,-x+1/2,z'
'-y,x+1/2,-z'
'x+1/2,-y,-z'
'-x+1/2,y,z'
'-y,-x,-z'
'y,x,z'
'-x,y+1/2,-z'
'x,-y+1/2,z'
'y+1/2,x+1/2,-z'
'-y+1/2,-x+1/2,z'
loop_
_atom_site_label
_atom_site_fract_x
_atom_site_fract_y
_atom_site_fract_z
Rb1 0.2500 0.7500 0.0000
Gd1 0.2500 0.2500 0.4165
Te1 0.2500 0.2500 0.7563
O1 0.2500 0.7500 0.5000
```

E_tot ... -5.25 eV/atom